[1]
A plane-wave DFT calculation with PBE was carried out for a relaxed structure of RbAg3Sn2.

The value obtained for the total energy is -2.983 eV per atom. The calculation puts the volume at 338 Å³/cell. As for the space-group type: C2/m, No. 12.

a b c (Å): 9.4670 9.4670 8.3393
angles (deg): 112.96 112.96 29.59
Sites, in units of the cell vectors:
Rb: 0.1655 0.1655 0.0873
Rb: 0.8345 0.8345 0.9127
Ag: 0.0082 0.0082 0.6804
Ag: 0.3025 0.3025 0.5436
Ag: 0.4128 0.4128 0.3518
Ag: 0.5872 0.5872 0.6482
Ag: 0.6975 0.6975 0.4564
Ag: 0.9918 0.9918 0.3196
Sn: 0.1559 0.1559 0.5857
Sn: 0.4680 0.4680 0.7973
Sn: 0.5320 0.5320 0.2027
Sn: 0.8441 0.8441 0.4143

***

[2]
A plane-wave DFT calculation with PBE was carried out for a relaxed structure of Rb2AgSn.

The value obtained for the total energy is -2.274 eV per atom. The calculation puts the volume at 327 Å³/cell. As for the space-group type: Cmcm, No. 63.

a b c (Å): 7.0342 7.0342 6.9168
angles (deg): 90.00 90.00 72.90
Sites, in units of the cell vectors:
Rb: 0.0081 0.3316 0.2500
Rb: 0.3316 0.0081 0.7500
Rb: 0.6684 0.9919 0.2500
Rb: 0.9919 0.6684 0.7500
Ag: 0.5000 0.5000 0.0000
Ag: 0.5000 0.5000 0.5000
Sn: 0.2434 0.7566 0.2500
Sn: 0.7566 0.2434 0.7500

***

[3]
A plane-wave DFT calculation with PBE was carried out for a relaxed structure of RbAgSn3.

The value obtained for the total energy is -1.727 eV per atom. The energy above the most stable polymorph in this dataset is 1.6030 eV/atom. The calculation puts the volume at 224 Å³/cell. As for the space-group type: Pm-3m, No. 221.

a b c (Å): 6.0714 6.0714 6.0714
angles (deg): 90.00 90.00 90.00
Sites, in units of the cell vectors:
Rb: 0.0000 0.0000 0.0000
Ag: 0.5000 0.5000 0.5000
Sn: 0.0000 0.0000 0.5000
Sn: 0.0000 0.5000 0.0000
Sn: 0.5000 0.0000 0.0000

***

[4]
A plane-wave DFT calculation with PBE was carried out for a relaxed structure of Rb2Ag4Sn5.

The value obtained for the total energy is -3.046 eV per atom. The calculation puts the volume at 295 Å³/cell. As for the space-group type: C2/m, No. 12.

a b c (Å): 7.4482 7.4482 9.4783
angles (deg): 129.08 129.08 52.05
Sites, in units of the cell vectors:
Rb: 0.1907 0.1907 0.1901
Rb: 0.8093 0.8093 0.8099
Ag: 0.2477 0.2477 0.9044
Ag: 0.2504 0.2504 0.5913
Ag: 0.7496 0.7496 0.4088
Ag: 0.7523 0.7523 0.0956
Sn: 0.2558 0.7417 0.6721
Sn: 0.2583 0.7442 0.3279
Sn: 0.5000 0.5000 0.0000
Sn: 0.7417 0.2558 0.6721
Sn: 0.7442 0.2583 0.3279

***

[5]
A plane-wave DFT calculation with PBE was carried out for a relaxed structure of RbAg3Sn.

The value obtained for the total energy is -2.680 eV per atom. The energy above the most stable polymorph in this dataset is 0.0000 eV/atom. The calculation puts the volume at 521 Å³/cell. As for the space-group type: C2/c, No. 15.

a b c (Å): 9.3422 9.3422 6.6887
angles (deg): 100.33 100.33 66.06
Sites, in units of the cell vectors:
Rb: 0.0202 0.9798 0.7500
Rb: 0.3626 0.6374 0.7500
Rb: 0.6374 0.3626 0.2500
Rb: 0.9798 0.0202 0.2500
Ag: 0.0434 0.3500 0.1190
Ag: 0.0453 0.3493 0.5776
Ag: 0.3035 0.3183 0.9038
Ag: 0.3183 0.3035 0.4038
Ag: 0.3493 0.0453 0.0776
Ag: 0.3500 0.0434 0.6190
Ag: 0.6500 0.9566 0.3810
Ag: 0.6507 0.9547 0.9224
Ag: 0.6817 0.6965 0.5962
Ag: 0.6965 0.6817 0.0962
Ag: 0.9547 0.6507 0.4224
Ag: 0.9566 0.6500 0.8810
Sn: 0.2058 0.5901 0.2001
Sn: 0.4099 0.7942 0.2999
Sn: 0.5901 0.2058 0.7001
Sn: 0.7942 0.4099 0.7999

***

[6]
A plane-wave DFT calculation with PBE was carried out for a relaxed structure of Rb2AgSn.

The value obtained for the total energy is -2.174 eV per atom. The calculation puts the volume at 453 Å³/cell. As for the space-group type: I-42d, No. 122.

a b c (Å): 9.6641 9.6641 9.6641
angles (deg): 94.19 94.19 148.62
Sites, in units of the cell vectors:
Rb: 0.3750 0.1993 0.3243
Rb: 0.8007 0.1250 0.1757
Rb: 0.8750 0.0507 0.6757
Rb: 0.9493 0.6250 0.8243
Ag: 0.0000 0.0000 0.0000
Ag: 0.7500 0.2500 0.5000
Sn: 0.2500 0.7500 0.5000
Sn: 0.5000 0.5000 0.0000